Crystalline TiCuSb at its relaxed geometry. Source: Alexandria, functional PBE.

Computed properties:
total energy: -5.550 eV per atom
ρ: 7.40 Mg/m³
symmetry: Cm (8)
spin magnetization: 0.00 Bohr magnetons per cell
energy relative to the elements, uncorrected: -0.5 eV per formula unit

Cell lengths 5.2059, 5.2059, 5.6628 Å; angles 103.58, 103.58, 44.82 degrees
Sites, in units of the cell vectors:
Ti: 0.0000 0.0000 0.0000
Ti: 0.7215 0.7215 0.3356
Cu: 0.3666 0.3666 0.6475
Cu: 0.6600 0.6600 0.8115
Sb: 0.0487 0.0487 0.5120
Sb: 0.3180 0.3180 0.0885